Computed, not measured: a relaxed structure of Ba2MnF6 at the GGA+U level of DFT.

Values from the calculation:
E, eV per atom: -5.942

abc: 6.0592 6.0592 4.4750
angles: 90.00 90.00 120.00
Atoms (fractional coordinates):
1 Ba 0.3333 0.6667 0.2319
2 Ba 0.6667 0.3333 0.7681
3 Mn 0.0000 0.0000 0.5000
4 F 0.1766 0.3532 0.7368
5 F 0.1766 0.8234 0.7368
6 F 0.3532 0.1766 0.2632
7 F 0.6468 0.8234 0.7368
8 F 0.8234 0.1766 0.2632
9 F 0.8234 0.6468 0.2632